1.
DFT (GGA-PBE) results for a relaxed structure of RbTc2Ag.

For the energy relative to the lowest polymorph listed for this composition, the calculation gives 505.0 meV/atom. The energy of formation comes out at 743 kJ/mol of formula units.

Lattice parameters (Å, degrees): 4.8968 4.8968 4.8968 60.00 60.00 60.00
Each line ends with the local moment (μB).
Fractional positions:
Tc1 0.7500 0.7500 0.7500  2.54
Tc2 0.2500 0.2500 0.2500  2.54
Rb1 0.0000 0.0000 0.0000  0.07
Ag1 0.5000 0.5000 0.5000  0.10

---

2.
DFT (GGA-PBE) results for a relaxed structure of Pr12Al3N5.

Its raw formation energy is -0.645 eV/atom.

Lattice parameters (Å, degrees): 14.0513 14.0513 14.0513 109.47 109.47 109.47
Fractional positions:
N1 0.8750 0.2500 0.6250
N2 0.2500 0.3750 0.6250
N3 0.5000 0.0000 0.0000
N4 0.5000 0.0000 0.5000
N5 0.1250 0.7500 0.3750
N6 0.1250 0.3750 0.2500
N7 0.0000 0.0000 0.5000
N8 0.7500 0.1250 0.8750
N9 0.3750 0.2500 0.1250
N10 0.5000 0.5000 0.5000
N11 0.6250 0.8750 0.2500
N12 0.8750 0.6250 0.7500
N13 0.0000 0.0000 0.0000
N14 0.0000 0.5000 0.5000
N15 0.3750 0.1250 0.7500
N16 0.6250 0.7500 0.8750
N17 0.0000 0.5000 0.0000
N18 0.7500 0.6250 0.3750
N19 0.5000 0.5000 0.0000
N20 0.2500 0.8750 0.1250
Al1 0.1250 0.2500 0.8750
Al2 0.7500 0.8750 0.6250
Al3 0.2500 0.1250 0.3750
Al4 0.3750 0.6250 0.2500
Al5 0.3750 0.7500 0.6250
Al6 0.8750 0.7500 0.1250
Al7 0.6250 0.2500 0.3750
Al8 0.6250 0.3750 0.7500
Al9 0.1250 0.8750 0.7500
Al10 0.2500 0.6250 0.8750
Al11 0.7500 0.3750 0.1250
Al12 0.8750 0.1250 0.2500
Pr1 0.7990 0.4826 0.3870
Pr2 0.9120 0.0955 0.6130
Pr3 0.0880 0.1835 0.2010
Pr4 0.4826 0.6835 0.0955
Pr5 0.9045 0.0880 0.8870
Pr6 0.4120 0.1130 0.5955
Pr7 0.2010 0.5174 0.6130
Pr8 0.8870 0.5880 0.9045
Pr9 0.5955 0.9826 0.6835
Pr10 0.9826 0.3870 0.2990
Pr11 0.0174 0.4045 0.8165
Pr12 0.7010 0.5880 0.1835
Pr13 0.8165 0.9045 0.0174
Pr14 0.5955 0.6130 0.4120
Pr15 0.1130 0.7010 0.5174
Pr16 0.5174 0.3165 0.9045
Pr17 0.0174 0.6130 0.7010
Pr18 0.5880 0.8870 0.4045
Pr19 0.9826 0.5955 0.1835
Pr20 0.5880 0.7010 0.6835
Pr21 0.9120 0.8165 0.7990
Pr22 0.4045 0.0174 0.3165
Pr23 0.3870 0.9826 0.7990
Pr24 0.6835 0.4826 0.5955
Pr25 0.3165 0.7990 0.4120
Pr26 0.8870 0.2990 0.4826
Pr27 0.7990 0.3165 0.9120
Pr28 0.6130 0.0174 0.2010
Pr29 0.4045 0.3870 0.5880
Pr30 0.2990 0.8870 0.9826
Pr31 0.0955 0.1835 0.4826
Pr32 0.7010 0.1130 0.0174
Pr33 0.1835 0.0880 0.7010
Pr34 0.4826 0.7990 0.8870
Pr35 0.8165 0.9120 0.2990
Pr36 0.0955 0.9120 0.1130
Pr37 0.2010 0.6835 0.0880
Pr38 0.1130 0.4120 0.0955
Pr39 0.2990 0.4120 0.8165
Pr40 0.3870 0.4045 0.0880
Pr41 0.5174 0.2010 0.1130
Pr42 0.6130 0.5955 0.9120
Pr43 0.6835 0.2010 0.5880
Pr44 0.0880 0.9045 0.3870
Pr45 0.4120 0.2990 0.3165
Pr46 0.9045 0.8165 0.5174
Pr47 0.3165 0.5174 0.4045
Pr48 0.1835 0.0955 0.9826

---

3.
DFT (GGA-PBE) results for a relaxed structure of SiWI3.

Its raw formation energy is 1.369 eV/atom. For the energy relative to the lowest polymorph listed for this composition, the calculation gives 266.9 meV/atom.

Lattice parameters (Å, degrees): 5.5806 5.5806 5.5806 90.00 90.00 90.00
Each line ends with the local moment (μB).
Fractional positions:
I1 0.0000 0.5000 0.0000  0.00
I2 0.5000 0.0000 0.0000  0.00
I3 0.0000 0.0000 0.5000  0.00
W1 0.5000 0.5000 0.5000  3.56
Si1 0.0000 0.0000 0.0000  0.01